{
  "formula": "TbGdSn",
  "functional": "PBE",
  "state": "optimized geometry",
  "cell": [[4.0876, 0.0000, 0.0000], [0.0000, 4.0876, 0.0000], [-2.0438, -2.0438, 5.0575]],
  "species": ["Gd", "Tb", "Sn"],
  "fractional_positions": [[0.3441, 0.3441, 0.6882], [0.6547, 0.6547, 0.3094], [0.0012, 0.0012, 0.0024]],
  "ef_mev_per_atom": -481.2,
  "sg": "I4mm, No. 107",
  "dos_ef_per_ev_atom": 0.933,
  "e_above_lowest_polymorph_mev_per_atom": 0
}